No. 1
Compound: SbAsOsO
Source: the Open Quantum Materials Database
Functional: PBE
Structure: relaxed

Computed properties:
For the theoretical density, the calculation gives 9.0 g/cm³. The total magnetic moment is 0.00 μB/f.u. For the energy above the most stable polymorph in this dataset, the calculation gives 1.13 eV/f.u. The calculated volume comes out at 18.54 A^3/atom.

Geometry as CIF:
```
data_SbAsOsO
_cell_length_a 4.3108
_cell_length_b 6.2019
_cell_length_c 5.5469
_cell_angle_alpha 90.00
_cell_angle_beta 90.00
_cell_angle_gamma 90.00
_space_group_name_H-M_alt 'P m c 21'
_space_group_IT_number 26
_space_group_name_Hall 'P 2c -2'
loop_
_atom_site_label
_atom_site_type_symbol
_atom_site_fract_x
_atom_site_fract_y
_atom_site_fract_z
Sb1 Sb 0.0000 0.2270 0.0000
As1 As 0.0000 0.2594 0.5032
Os1 Os 0.5000 0.4504 0.5605
O1 O 0.5000 0.2564 0.8620
```

No. 2
Compound: CuPdF4
Source: the Open Quantum Materials Database
Functional: PBE
Structure: relaxed

Computed properties:
For the theoretical density, the calculation gives 5.6 g/cm³. The calculated volume comes out at 12.19 A^3/atom. The total DFT energy (no corrections) is -3.994 eV per atom.

Geometry as CIF:
```
data_CuPdF4
_cell_length_a 5.4026
_cell_length_b 4.4111
_cell_length_c 6.4323
_cell_angle_alpha 90.00
_cell_angle_beta 107.40
_cell_angle_gamma 90.00
_space_group_name_H-M_alt 'P 1 21/c 1'
_space_group_IT_number 14
_space_group_name_Hall '-P 2ybc'
loop_
_atom_site_label
_atom_site_type_symbol
_atom_site_fract_x
_atom_site_fract_y
_atom_site_fract_z
Cu1 Cu 0.0000 0.0000 0.0000
Pd1 Pd 0.5000 0.0000 0.5000
F1 F 0.1466 0.1846 0.3606
F2 F 0.3408 0.6701 0.6271
```

No. 3
Compound: SrScPdSe3
Source: the Open Quantum Materials Database
Functional: PBE
Structure: relaxed

Computed properties:
For the theoretical density, the calculation gives 5.7 g/cm³. The total magnetic moment is 0.01 μB/f.u. For the energy above the most stable polymorph in this dataset, the calculation gives 0.23 eV/f.u. The calculated volume comes out at 23.21 A^3/atom.

Geometry as CIF:
```
data_SrScPdSe3
_cell_length_a 3.9364
_cell_length_b 13.9790
_cell_length_c 10.1241
_cell_angle_alpha 90.00
_cell_angle_beta 90.00
_cell_angle_gamma 90.00
_space_group_name_H-M_alt 'C m c m'
_space_group_IT_number 63
_space_group_name_Hall '-C 2c 2'
loop_
_atom_site_label
_atom_site_type_symbol
_atom_site_fract_x
_atom_site_fract_y
_atom_site_fract_z
Sr1 Sr 0.0000 0.2398 0.2500
Sc1 Sc 0.0000 0.0000 0.0000
Pd1 Pd 0.0000 0.4728 0.7500
Se1 Se 0.0000 0.0836 0.7500
Se2 Se 0.0000 0.3632 0.5486
```

No. 4
Compound: GdIrO
Source: the Open Quantum Materials Database
Functional: PBE
Structure: relaxed

Computed properties:
For the theoretical density, the calculation gives 12.2 g/cm³. The total magnetic moment is 0.01 μB/f.u. The calculated volume comes out at 16.64 A^3/atom. The total DFT energy (no corrections) is -6.789 eV per atom.

Geometry as CIF:
```
data_GdIrO
_cell_length_a 3.3699
_cell_length_b 3.3699
_cell_length_c 4.3949
_cell_angle_alpha 90.00
_cell_angle_beta 90.00
_cell_angle_gamma 90.00
_space_group_name_H-M_alt 'P 4/m m m'
_space_group_IT_number 123
_space_group_name_Hall '-P 4 2'
loop_
_atom_site_label
_atom_site_type_symbol
_atom_site_fract_x
_atom_site_fract_y
_atom_site_fract_z
Gd1 Gd 0.0000 0.0000 0.0000
Ir1 Ir 0.5000 0.5000 0.5000
O1 O 0.0000 0.0000 0.5000
```

No. 5
Compound: KHg3IrO4
Source: the Open Quantum Materials Database
Functional: PBE
Structure: relaxed

Computed properties:
For the theoretical density, the calculation gives 8.1 g/cm³. The total magnetic moment is 3.64 μB/f.u. The calculated volume comes out at 20.53 A^3/atom. The total DFT energy (no corrections) is -3.393 eV per atom.

Geometry as CIF:
```
data_KHg3IrO4
_cell_length_a 5.6957
_cell_length_b 5.6957
_cell_length_c 5.6957
_cell_angle_alpha 90.00
_cell_angle_beta 90.00
_cell_angle_gamma 90.00
_space_group_name_H-M_alt 'P -4 3 m'
_space_group_IT_number 215
_space_group_name_Hall 'P -4 2 3'
loop_
_atom_site_label
_atom_site_type_symbol
_atom_site_fract_x
_atom_site_fract_y
_atom_site_fract_z
K1 K 0.0000 0.0000 0.0000
Hg1 Hg 0.0000 0.5000 0.5000
Ir1 Ir 0.5000 0.5000 0.5000
O1 O 0.2747 0.2747 0.2747
```

No. 6
Compound: Co6Sn3Pd7
Source: the Open Quantum Materials Database
Functional: PBE
Structure: relaxed

Computed properties:
For the theoretical density, the calculation gives 10.4 g/cm³. The total magnetic moment is 10.03 μB/f.u. The calculated volume comes out at 14.56 A^3/atom. The total DFT energy (no corrections) is -5.910 eV per atom.

Geometry as CIF:
```
data_Co6Sn3Pd7
_cell_length_a 3.9533
_cell_length_b 3.9533
_cell_length_c 14.9106
_cell_angle_alpha 90.00
_cell_angle_beta 90.00
_cell_angle_gamma 90.00
_space_group_name_H-M_alt 'P 4/m m m'
_space_group_IT_number 123
_space_group_name_Hall '-P 4 2'
loop_
_atom_site_label
_atom_site_type_symbol
_atom_site_fract_x
_atom_site_fract_y
_atom_site_fract_z
Co1 Co 0.0000 0.0000 0.0000
Co2 Co 0.0000 0.5000 0.0942
Co3 Co 0.5000 0.5000 0.0000
Sn1 Sn 0.0000 0.0000 0.2242
Sn2 Sn 0.0000 0.0000 0.5000
Pd1 Pd 0.0000 0.5000 0.3616
Pd2 Pd 0.5000 0.5000 0.2213
Pd3 Pd 0.5000 0.5000 0.5000
```

No. 7
Compound: TaRe2Ge2
Source: the Open Quantum Materials Database
Functional: PBE
Structure: relaxed

Computed properties:
For the theoretical density, the calculation gives 13.8 g/cm³. The total magnetic moment is 0.00 μB/f.u. The calculated volume comes out at 16.81 A^3/atom. The total DFT energy (no corrections) is -8.673 eV per atom.

Geometry as CIF:
```
data_TaRe2Ge2
_cell_length_a 4.1595
_cell_length_b 4.1595
_cell_length_c 9.7179
_cell_angle_alpha 90.00
_cell_angle_beta 90.00
_cell_angle_gamma 90.00
_space_group_name_H-M_alt 'I 4/m m m'
_space_group_IT_number 139
_space_group_name_Hall '-I 4 2'
loop_
_atom_site_label
_atom_site_type_symbol
_atom_site_fract_x
_atom_site_fract_y
_atom_site_fract_z
Ta1 Ta 0.0000 0.0000 0.0000
Re1 Re 0.0000 0.5000 0.2500
Ge1 Ge 0.0000 0.0000 0.3815
```

No. 8
Compound: Lu2Ta4Zn3N3
Source: the Open Quantum Materials Database
Functional: PBE
Structure: relaxed

Computed properties:
For the theoretical density, the calculation gives 12.3 g/cm³. The total magnetic moment is 0.00 μB/f.u. The calculated volume comes out at 14.81 A^3/atom. The total DFT energy (no corrections) is -7.885 eV per atom.

Geometry as CIF:
```
data_Lu2Ta4Zn3N3
_cell_length_a 9.4885
_cell_length_b 5.4810
_cell_length_c 14.0412
_cell_angle_alpha 90.00
_cell_angle_beta 103.19
_cell_angle_gamma 90.00
_space_group_name_H-M_alt 'C 1 2/c 1'
_space_group_IT_number 15
_space_group_name_Hall '-C 2yc'
loop_
_atom_site_label
_atom_site_type_symbol
_atom_site_fract_x
_atom_site_fract_y
_atom_site_fract_z
Lu1 Lu 0.0424 0.0809 0.3872
Ta1 Ta 0.1108 0.4116 0.5812
Ta2 Ta 0.2248 0.4184 0.9188
Zn1 Zn 0.0000 0.4315 0.7500
Zn2 Zn 0.2418 0.1555 0.7510
N1 N 0.0807 0.2424 0.0001
N2 N 0.2500 0.2500 0.5000
```